Arrangement one

The following is a DFT calculation (PBE-GGA) of a relaxed Li2CoMo crystal.

Cell lengths 2.6083, 3.7405, 5.7569 Å; angles 90.00, 90.00, 90.00 degrees
Positions (direct):
Li1 0.0000 0.0000 0.0000
Li2 0.5000 0.5000 0.2356
Co1 0.5000 0.5000 0.7154
Mo1 0.0000 0.0000 0.5429

- volume (Å³ per cell) = 56.2



Arrangement two

The following is a DFT calculation (PBE-GGA) of a relaxed Li2CoMo crystal.

Cell lengths 2.8976, 2.8976, 7.0708 Å; angles 90.00, 90.00, 90.00 degrees
Positions (direct):
Li1 0.0000 0.0000 0.0000
Li2 0.5000 0.5000 0.2905
Co1 0.5000 0.5000 0.7653
Mo1 0.0000 0.0000 0.5832

- volume (Å³ per cell) = 59.4



The structure with the greatest stability is arrangement two.